# CdB3Mo4 | OQMD | PBE | optimized geometry
# total magnetization	0.00	μB/cell
# calculated total energy	-131.56	eV per cell
data_CdB3Mo4
_chemical_formula_sum 'Cd2 B6 Mo8'
_symmetry_space_group_name_H-M 'P 63/m m c'
_symmetry_Int_Tables_number 194
_symmetry_space_group_name_Hall '-P 6c 2c'
_cell_length_a 3.1360
_cell_length_b 3.1360
_cell_length_c 24.6383
_cell_angle_alpha 90.00
_cell_angle_beta 90.00
_cell_angle_gamma 120.00
loop_
_atom_site_label
_atom_site_type_symbol
_atom_site_fract_x
_atom_site_fract_y
_atom_site_fract_z
Cd1 Cd 0.3333 0.6667 0.2500
B1 B 0.0000 0.0000 0.0000
B2 B 0.3333 0.6667 0.6067
Mo1 Mo 0.0000 0.0000 0.1523
Mo2 Mo 0.3333 0.6667 0.0535


# CdBMo2 | OQMD | PBE | optimized geometry
# total magnetization	0.00	μB/cell
# energy above the lowest structure with this stoichiometry	4.14	eV per formula unit
data_CdBMo2
_chemical_formula_sum 'Cd4 B4 Mo8'
_symmetry_space_group_name_H-M 'F -4 3 m'
_symmetry_Int_Tables_number 216
_symmetry_space_group_name_Hall 'F -4 2 3'
_cell_length_a 6.1902
_cell_length_b 6.1902
_cell_length_c 6.1902
_cell_angle_alpha 90.00
_cell_angle_beta 90.00
_cell_angle_gamma 90.00
loop_
_atom_site_label
_atom_site_type_symbol
_atom_site_fract_x
_atom_site_fract_y
_atom_site_fract_z
Cd1 Cd 0.0000 0.0000 0.0000
B1 B 0.2500 0.2500 0.7500
Mo1 Mo 0.0000 0.0000 0.5000
Mo2 Mo 0.2500 0.2500 0.2500


# CdB4Mo3 | OQMD | PBE | optimized geometry
# total magnetization	0.00	μB/cell
# calculated total energy	-62.25	eV per cell
data_CdB4Mo3
_chemical_formula_sum 'Cd1 B4 Mo3'
_symmetry_space_group_name_H-M 'P m m m'
_symmetry_Int_Tables_number 47
_cell_length_a 3.0532
_cell_length_b 3.1360
_cell_length_c 9.3608
_cell_angle_alpha 90.00
_cell_angle_beta 90.00
_cell_angle_gamma 90.00
loop_
_symmetry_equiv_pos_as_xyz
'x,y,z'
'-x,-y,-z'
'-x,-y,z'
'x,y,-z'
'x,-y,-z'
'-x,y,z'
'-x,y,-z'
'x,-y,z'
loop_
_atom_site_label
_atom_site_type_symbol
_atom_site_fract_x
_atom_site_fract_y
_atom_site_fract_z
Cd1 Cd 0.0000 0.0000 0.0000
B1 B 0.0000 0.0000 0.2986
B2 B 0.5000 0.0000 0.4011
Mo1 Mo 0.0000 0.5000 0.5000
Mo2 Mo 0.5000 0.5000 0.2279


# CdB2Mo | OQMD | PBE | optimized geometry
# total magnetization	0.02	μB/cell
# calculated total energy	-71.55	eV per cell
data_CdB2Mo
_chemical_formula_sum 'Cd4 B8 Mo4'
_symmetry_space_group_name_H-M 'F -4 3 m'
_symmetry_Int_Tables_number 216
_symmetry_space_group_name_Hall 'F -4 2 3'
_cell_length_a 5.9218
_cell_length_b 5.9218
_cell_length_c 5.9218
_cell_angle_alpha 90.00
_cell_angle_beta 90.00
_cell_angle_gamma 90.00
loop_
_atom_site_label
_atom_site_type_symbol
_atom_site_fract_x
_atom_site_fract_y
_atom_site_fract_z
Cd1 Cd 0.0000 0.0000 0.0000
B1 B 0.0000 0.0000 0.5000
B2 B 0.2500 0.2500 0.7500
Mo1 Mo 0.2500 0.2500 0.2500


# CdBMo2 | OQMD | PBE | optimized geometry
# total magnetization	0.00	μB/cell
# energy above the lowest structure with this stoichiometry	0.00	eV per formula unit
data_CdBMo2
_chemical_formula_sum 'Cd2 B2 Mo4'
_symmetry_space_group_name_H-M 'P 63/m m c'
_symmetry_Int_Tables_number 194
_symmetry_space_group_name_Hall '-P 6c 2c'
_cell_length_a 3.1397
_cell_length_b 3.1397
_cell_length_c 14.2558
_cell_angle_alpha 90.00
_cell_angle_beta 90.00
_cell_angle_gamma 120.00
loop_
_atom_site_label
_atom_site_type_symbol
_atom_site_fract_x
_atom_site_fract_y
_atom_site_fract_z
Cd1 Cd 0.3333 0.6667 0.2500
B1 B 0.0000 0.0000 0.0000
Mo1 Mo 0.3333 0.6667 0.5807


# NaCdB4 | OQMD | PBE | optimized geometry
# energy above the lowest structure with this stoichiometry	0.00	eV per formula unit
data_NaCdB4
_chemical_formula_sum 'Na2 Cd2 B8'
_symmetry_space_group_name_H-M 'I m m m'
_symmetry_Int_Tables_number 71
_symmetry_space_group_name_Hall '-I 2 2'
_cell_length_a 3.0755
_cell_length_b 5.3227
_cell_length_c 8.1081
_cell_angle_alpha 90.00
_cell_angle_beta 90.00
_cell_angle_gamma 90.00
loop_
_atom_site_label
_atom_site_type_symbol
_atom_site_fract_x
_atom_site_fract_y
_atom_site_fract_z
Na1 Na 0.0000 0.0000 0.0000
Cd1 Cd 0.0000 0.0000 0.5000
B1 B 0.0000 0.3342 0.2530


# NaCdB | OQMD | PBE | optimized geometry
# energy above the lowest structure with this stoichiometry	0.00	eV per formula unit
data_NaCdB
_chemical_formula_sum 'Na4 Cd4 B4'
_symmetry_space_group_name_H-M 'F -4 3 m'
_symmetry_Int_Tables_number 216
_symmetry_space_group_name_Hall 'F -4 2 3'
_cell_length_a 6.0599
_cell_length_b 6.0599
_cell_length_c 6.0599
_cell_angle_alpha 90.00
_cell_angle_beta 90.00
_cell_angle_gamma 90.00
loop_
_atom_site_label
_atom_site_type_symbol
_atom_site_fract_x
_atom_site_fract_y
_atom_site_fract_z
Na1 Na 0.0000 0.0000 0.0000
Cd1 Cd 0.0000 0.0000 0.5000
B1 B 0.2500 0.2500 0.7500


# NaCdB4 | OQMD | PBE | optimized geometry
# energy above the lowest structure with this stoichiometry	0.06	eV per formula unit
data_NaCdB4
_chemical_formula_sum 'Na1 Cd1 B4'
_symmetry_space_group_name_H-M 'P 6/m m m'
_symmetry_Int_Tables_number 191
_symmetry_space_group_name_Hall '-P 6 2'
_cell_length_a 3.0894
_cell_length_b 3.0894
_cell_length_c 8.1389
_cell_angle_alpha 90.00
_cell_angle_beta 90.00
_cell_angle_gamma 120.00
loop_
_atom_site_label
_atom_site_type_symbol
_atom_site_fract_x
_atom_site_fract_y
_atom_site_fract_z
Na1 Na 0.0000 0.0000 0.0000
Cd1 Cd 0.0000 0.0000 0.5000
B1 B 0.3333 0.6667 0.2564


# Nb2CdB2 | OQMD | PBE | optimized geometry
# total magnetization	0.02	μB/cell
# calculated total energy	-72.89	eV per cell
data_Nb2CdB2
_chemical_formula_sum 'Nb4 Cd2 B4'
_symmetry_space_group_name_H-M 'C m m m'
_symmetry_Int_Tables_number 65
_symmetry_space_group_name_Hall '-C 2 2'
_cell_length_a 3.0780
_cell_length_b 13.2959
_cell_length_c 3.2873
_cell_angle_alpha 90.00
_cell_angle_beta 90.00
_cell_angle_gamma 90.00
loop_
_atom_site_label
_atom_site_type_symbol
_atom_site_fract_x
_atom_site_fract_y
_atom_site_fract_z
Nb1 Nb 0.0000 0.1522 0.0000
Cd1 Cd 0.0000 0.5000 0.5000
B1 B 0.0000 0.2813 0.5000


# Nb3CdB3 | OQMD | PBE | optimized geometry
# total magnetization	0.02	μB/cell
# calculated total energy	-217.50	eV per cell
data_Nb3CdB3
_chemical_formula_sum 'Nb12 Cd4 B12'
_symmetry_space_group_name_H-M 'C m c m'
_symmetry_Int_Tables_number 63
_symmetry_space_group_name_Hall '-C 2c 2'
_cell_length_a 3.2998
_cell_length_b 35.4879
_cell_length_c 3.1303
_cell_angle_alpha 90.00
_cell_angle_beta 90.00
_cell_angle_gamma 90.00
loop_
_atom_site_label
_atom_site_type_symbol
_atom_site_fract_x
_atom_site_fract_y
_atom_site_fract_z
Nb1 Nb 0.0000 0.0379 0.2500
Nb2 Nb 0.0000 0.1116 0.7500
Nb3 Nb 0.0000 0.3357 0.7500
Cd1 Cd 0.0000 0.2214 0.7500
B1 B 0.0000 0.4087 0.7500
B2 B 0.0000 0.4358 0.2500
B3 B 0.0000 0.4872 0.2500


# Nb3CdB2 | OQMD | PBE | optimized geometry
# total magnetization	0.01	μB/cell
# calculated total energy	-93.13	eV per cell
data_Nb3CdB2
_chemical_formula_sum 'Nb6 Cd2 B4'
_symmetry_space_group_name_H-M 'P 63/m m c'
_symmetry_Int_Tables_number 194
_symmetry_space_group_name_Hall '-P 6c 2c'
_cell_length_a 3.2896
_cell_length_b 3.2896
_cell_length_c 19.7423
_cell_angle_alpha 90.00
_cell_angle_beta 90.00
_cell_angle_gamma 120.00
loop_
_atom_site_label
_atom_site_type_symbol
_atom_site_fract_x
_atom_site_fract_y
_atom_site_fract_z
Nb1 Nb 0.0000 0.0000 0.0000
Nb2 Nb 0.3333 0.6667 0.1268
Cd1 Cd 0.0000 0.0000 0.2500
B1 B 0.3333 0.6667 0.5691


# NbCdB4 | OQMD | PBE | optimized geometry
# total magnetization	0.01	μB/cell
# energy above the lowest structure with this stoichiometry	0.00	eV per formula unit
data_NbCdB4
_chemical_formula_sum 'Nb1 Cd1 B4'
_symmetry_space_group_name_H-M 'P 6/m m m'
_symmetry_Int_Tables_number 191
_symmetry_space_group_name_Hall '-P 6 2'
_cell_length_a 3.0719
_cell_length_b 3.0719
_cell_length_c 7.7910
_cell_angle_alpha 90.00
_cell_angle_beta 90.00
_cell_angle_gamma 120.00
loop_
_atom_site_label
_atom_site_type_symbol
_atom_site_fract_x
_atom_site_fract_y
_atom_site_fract_z
Nb1 Nb 0.0000 0.0000 0.0000
Cd1 Cd 0.0000 0.0000 0.5000
B1 B 0.3333 0.6667 0.2162